# 1
Material: NdInO2
Method: DFT, GGA-PBE
State: relaxed

Cell: 6.7829 6.7829 6.7829 Å, 137.75 137.75 61.28°
Last column: nearest neighbours and their distance in Å.
Fractional positions:
O (0.7049, 0.7049, 0.0000)  3 Nd 2.39-2.50, 2 In 2.50
O (0.0451, 0.5451, 0.5000)  3 Nd 2.39-2.50, 2 In 2.50
O (0.4549, 0.9549, 0.5000)  3 Nd 2.39-2.50, 2 In 2.50
O (0.2951, 0.2951, 0.0000)  3 Nd 2.39-2.50, 2 In 2.50
In (0.7500, 0.2500, 0.5000)  4 O 2.50
In (0.0000, 0.0000, 0.0000)  4 O 2.50
Nd (0.5000, 0.5000, 0.0000)  6 O 2.39-2.50
Nd (0.2500, 0.7500, 0.5000)  6 O 2.39-2.50

Values from the calculation:
* space-group type: I4_1/amd (141)
* E: -6.42 eV/atom



# 2
Material: NdInO3
Method: DFT, GGA-PBE
State: relaxed

Cell: 5.7856 5.7856 6.0533 Å, 61.45 61.45 60.00°
Last column: nearest neighbours and their distance in Å.
Fractional positions:
O (0.2227, 0.9675, 0.2579)  2 In 2.17-2.27, 1 Nd 2.30
O (0.5519, 0.2227, 0.2579)  2 In 2.17-2.27, 1 Nd 2.30
O (0.0325, 0.4481, 0.7421)  2 In 2.17-2.27, 1 Nd 2.30
O (0.7773, 0.0325, 0.7421)  2 In 2.17-2.27, 1 Nd 2.30
O (0.4481, 0.7773, 0.7421)  2 In 2.17-2.27, 1 Nd 2.30
O (0.9675, 0.5519, 0.2579)  2 In 2.17-2.27, 1 Nd 2.30
Nd (0.3667, 0.3667, 0.8998)  6 O 2.30-2.48
Nd (0.6333, 0.6333, 0.1002)  6 O 2.30-2.48
In (0.1478, 0.1478, 0.5567)  6 O 2.17-2.27
In (0.8522, 0.8522, 0.4433)  6 O 2.17-2.27

Values from the calculation:
* space-group type: R-3 (148)
* E: -6.87 eV/atom



# 3
Material: Nd2InOsO6
Method: DFT, GGA-PBE
State: relaxed

Cell: 5.7094 5.7094 5.7094 Å, 60.00 60.00 60.00°
Last column: nearest neighbours and their distance in Å.
Fractional positions:
O (0.2547, 0.7453, 0.2547)  1 Os 1.98, 1 In 2.06
O (0.7453, 0.2547, 0.2547)  1 Os 1.98, 1 In 2.06
O (0.7453, 0.7453, 0.2547)  1 Os 1.98, 1 In 2.06
O (0.2547, 0.2547, 0.7453)  1 Os 1.98, 1 In 2.06
O (0.2547, 0.7453, 0.7453)  1 Os 1.98, 1 In 2.06
O (0.7453, 0.2547, 0.7453)  1 Os 1.98, 1 In 2.06
Nd (0.2500, 0.2500, 0.2500)  12 O 2.85
Nd (0.7500, 0.7500, 0.7500)  12 O 2.85
In (0.0000, 0.0000, 0.0000)  6 O 2.06
Os (0.5000, 0.5000, 0.5000)  6 O 1.98

Values from the calculation:
* space-group type: Fm-3m (225)
* E: -7.14 eV/atom



# 4
Material: NdInPO
Method: DFT, GGA-PBE
State: relaxed

Cell: 4.1982 7.4978 5.9825 Å, 90.00 90.00 90.00°
Last column: nearest neighbours and their distance in Å.
Fractional positions:
O (0.0000, 0.1775, 0.8958)  2 In 2.31-2.40, 2 Nd 2.32
O (0.0000, 0.8225, 0.3958)  2 In 2.31-2.40, 2 Nd 2.32
In (0.0000, 0.1196, 0.5006)  2 O 2.31-2.40, 2 P 2.59
In (0.0000, 0.8804, 0.0006)  2 O 2.31-2.40, 2 P 2.59
P (0.5000, 0.3118, 0.4244)  2 In 2.59, 1 Nd 2.86
P (0.5000, 0.6882, 0.9244)  2 In 2.59, 1 Nd 2.86
Nd (0.5000, 0.6928, 0.4331)  2 O 2.32
Nd (0.5000, 0.3072, 0.9331)  2 O 2.32

Values from the calculation:
* space-group type: Pmc2_1 (26)
* E: -5.75 eV/atom



# 5
Material: NdInPO
Method: DFT, GGA-PBE
State: relaxed

Cell: 5.8225 5.8225 4.9976 Å, 90.00 90.00 90.00°
Last column: nearest neighbours and their distance in Å.
Fractional positions:
O (0.0000, 0.0000, 0.0000)  2 Nd 2.50
O (0.5000, 0.5000, 0.0000)  2 Nd 2.50
Nd (0.0000, 0.0000, 0.5000)  2 O 2.50
Nd (0.5000, 0.5000, 0.5000)  2 O 2.50
In (0.0000, 0.5000, 0.0044)  2 P 2.50
In (0.5000, 0.0000, 0.9956)  2 P 2.50
P (0.5000, 0.0000, 0.4957)  2 In 2.50
P (0.0000, 0.5000, 0.5043)  2 In 2.50

Values from the calculation:
* space-group type: P4/nmm (129)
* E: -5.69 eV/atom



# 6
Material: NdInPO
Method: DFT, GGA-PBE
State: relaxed

Cell: 5.0543 5.0573 6.4781 Å, 90.00 90.00 90.00°
Last column: nearest neighbours and their distance in Å.
Fractional positions:
Nd (0.5000, 0.7347, 0.5725)  2 O 2.31-2.32
Nd (0.5000, 0.2653, 0.0725)  2 O 2.31-2.32
P (0.0000, 0.7720, 0.3246)  3 In 2.57-2.64
P (0.0000, 0.2280, 0.8246)  3 In 2.57-2.64
O (0.5000, 0.3169, 0.4280)  2 Nd 2.31-2.32, 2 In 2.54
O (0.5000, 0.6831, 0.9280)  2 Nd 2.31-2.32, 2 In 2.54
In (0.0000, 0.2684, 0.4289)  2 O 2.54, 3 P 2.57-2.64
In (0.0000, 0.7316, 0.9289)  2 O 2.54, 3 P 2.57-2.64

Values from the calculation:
* space-group type: Pmc2_1 (26)
* E: -5.78 eV/atom